VASP calculation (PBE) on a relaxed structure of Li6TlPd.

Properties
DFT total energy, eV per atom: -2.6192
SG: P4/mmm (123)

Unit cell a=4.4551 b=4.4551 c=6.2609 alpha=90.00 beta=90.00 gamma=90.00
Element x y z (fractional)
Li (0.0000, 0.5000, 0.2304)
Li (0.0000, 0.0000, 0.5000)
Li (0.5000, 0.0000, 0.7696)
Li (0.0000, 0.5000, 0.7696)
Li (0.5000, 0.5000, 0.0000)
Li (0.5000, 0.0000, 0.2304)
Tl (0.5000, 0.5000, 0.5000)
Pd (0.0000, 0.0000, 0.0000)